[1]
Ce2TmScBi5 (PBE, relaxed); SG = P4/mmm; density = 7489 kg/m3; formation enthalpy at 0 K = -70 kJ/mol of formula units
1.0
-0.698 -0.573 -5.380
-5.127 -1.663 0.843
-3.632 10.855 -0.684
Bi Ce Sc Tm
5 2 1 1
Cartesian
-2.759 8.244 -0.519
-0.874 2.611 -0.165
-2.913 -1.118 -2.269
-2.165 5.141 -3.032
-4.380 4.596 0.079
-3.960 2.012 -2.466
-5.498 6.608 -2.755
0.000 0.000 0.000
-1.816 5.428 -0.342

***

[2]
Ce2TmScBi4 (PBE, relaxed); SG = P2/m; density = 8696 kg/m3; formation enthalpy at 0 K = -578 kJ/mol of formula units
1.0
4.486 0.000 0.000
0.000 7.731 -0.140
0.000 2.734 7.274
Bi Tm Ce Sc
4 1 2 1
Cartesian
0.000 7.743 5.433
4.486 2.722 1.701
2.243 6.373 1.711
2.243 4.092 5.423
0.000 5.232 3.567
0.000 2.734 7.274
2.243 1.367 3.637
2.243 3.865 -0.070

***

[3]
CeTm2ScBi4 (PBE, relaxed); SG = P2/m; density = 9116 kg/m3; formation enthalpy at 0 K = -568 kJ/mol of formula units
1.0
4.446 0.000 0.000
0.000 7.675 0.130
0.000 -2.685 7.208
Bi Tm Ce Sc
4 2 1 1
Cartesian
2.223 1.318 1.858
0.000 -0.028 5.469
2.223 3.671 5.481
0.000 5.017 1.869
2.223 -1.343 3.604
0.000 2.495 3.669
0.000 0.000 0.000
2.223 3.837 0.065

***

[4]
CeTmSc2Bi4 (PBE, relaxed); SG = P2/m; density = 8546 kg/m3; formation enthalpy at 0 K = -552 kJ/mol of formula units
1.0
-0.140 3.636 -2.479
1.940 -4.094 -6.117
-7.565 0.154 0.653
Bi Sc Ce Tm
4 2 1 1
Cartesian
-1.584 0.834 -2.598
-0.552 -3.073 -4.478
-4.181 -1.138 -5.344
-5.073 -0.867 -0.986
-3.853 1.895 -0.913
-2.813 -1.970 -2.732
0.900 -0.229 -4.298
0.000 0.000 0.000